The following is a PBE calculation of a relaxed Ca3EuRu crystal, from Alexandria.

abc: 5.585 5.585 5.585
angles: 90.00 90.00 90.00
Sites, in units of the cell vectors:
Ca  0.000  0.000  0.500
Ca  0.000  0.500  0.000
Ca  0.500  0.000  0.000
Eu  0.500  0.500  0.500
Ru  0.000  0.000  0.000

Computed properties:
space group: No. 221
volume: 34.85 A^3/atom
VASP energy: -24.851 eV/cell
crystal system: cubic